1.
Entry from Alexandria: a relaxed structure of CaCo2Cl (PBE).

a = 5.554 Å, b = 5.554 Å, c = 3.133 Å
α = 90.00°, β = 90.00°, γ = 126.24°
Positions (direct):
Ca 0.000 0.000 0.000
Co 0.000 0.500 0.500
Co 0.500 0.000 0.500
Cl 0.500 0.500 0.000

**Size of the total moment**: 3.8 μB/cell
**Offset from the most stable computed form**: 651 meV/atom
**ΔE_f (raw)**: 0.386 eV per atom


2.
Entry from Alexandria: a relaxed structure of Pa3AlSi2 (PBE).

a = 7.506 Å, b = 7.506 Å, c = 7.506 Å
α = 58.69°, β = 58.69°, γ = 58.69°
Positions (direct):
Pa 0.049 0.750 0.451
Pa 0.250 0.549 0.951
Pa 0.451 0.049 0.750
Pa 0.549 0.951 0.250
Pa 0.750 0.451 0.049
Pa 0.951 0.250 0.549
Al 0.000 0.000 0.000
Al 0.500 0.500 0.500
Si 0.150 0.150 0.150
Si 0.350 0.350 0.350
Si 0.650 0.650 0.650
Si 0.850 0.850 0.850

**Size of the total moment**: 0.0 μB/cell
**ΔE_f (raw)**: -0.125 eV per atom


3.
Entry from Alexandria: a relaxed structure of BaInGaPd (PBE).

a = 6.736 Å, b = 6.736 Å, c = 6.736 Å
α = 39.33°, β = 39.33°, γ = 39.33°
Positions (direct):
Ba 0.000 0.000 0.000
In 0.200 0.200 0.200
Ga 0.458 0.458 0.458
Pd 0.804 0.804 0.804

**Size of the total moment**: 0.0 μB/cell
**E_form**: -0.533 eV/atom


4.
Entry from Alexandria: a relaxed structure of Ce2LuHg (PBE).

a = 5.431 Å, b = 5.431 Å, c = 5.431 Å
α = 60.00°, β = 60.00°, γ = 60.00°
Positions (direct):
Ce 0.250 0.250 0.250
Ce 0.750 0.750 0.750
Lu 0.000 0.000 0.000
Hg 0.500 0.500 0.500

**Size of the total moment**: 2.8 μB/cell
**Offset from the most stable computed form**: 153 meV/atom
**E_form**: 0.030 eV/atom


5.
Entry from Alexandria: a relaxed structure of Mg2TcW2 (PBE).

a = 6.361 Å, b = 6.361 Å, c = 4.738 Å
α = 90.00°, β = 90.00°, γ = 90.00°
Positions (direct):
Mg 0.168 0.332 0.000
Mg 0.332 0.832 0.000
Mg 0.668 0.168 0.000
Mg 0.832 0.668 0.000
Tc 0.000 0.000 0.500
Tc 0.500 0.500 0.500
W 0.138 0.638 0.500
W 0.362 0.138 0.500
W 0.638 0.862 0.500
W 0.862 0.362 0.500

**Size of the total moment**: 0.0 μB/cell
**Offset from the most stable computed form**: 0 meV/atom
**E_form**: 0.648 eV/atom


6.
Entry from Alexandria: a relaxed structure of AlI2Cl (PBE).

a = 6.930 Å, b = 6.930 Å, c = 6.930 Å
α = 109.36°, β = 109.36°, γ = 109.69°
Positions (direct):
Al 0.000 0.000 0.000
Al 0.750 0.250 0.500
I 0.053 0.625 0.928
I 0.375 0.303 0.428
I 0.697 0.125 0.072
I 0.875 0.947 0.572
Cl 0.250 0.750 0.500
Cl 0.500 0.500 0.000

**Size of the total moment**: 0.0 μB/cell
**Offset from the most stable computed form**: 588 meV/atom
**ΔE_f (raw)**: -0.316 eV per atom